Entry 1:
## Sr3Li4Ag2 (PBE)

Data for an optimized crystal structure of Sr3Li4Ag2.

E_tot = -0.0798 hartree per atom
energy of formation = -1.14 eV/f.u.
symmetry = C2/m, No. 12

a = 6.3971 Å, b = 6.3971 Å, c = 9.4016 Å
α = 110.81°, β = 110.81°, γ = 46.33°
Closest atoms and distances in Å follow each position.
Positions (direct):
Sr: 0.0000 0.0000 0.0000  2 Ag 3.25, 6 Li 3.44-3.58
Sr: 0.3912 0.3912 0.6343  4 Ag 3.35-3.68, 4 Li 3.44-3.68
Sr: 0.6088 0.6088 0.3657  4 Ag 3.35-3.68, 4 Li 3.44-3.68
Li: 0.1078 0.1078 0.6618  2 Li 2.79-3.12, 2 Ag 2.80
Li: 0.2904 0.2904 0.9598  1 Ag 2.74, 3 Li 2.79-2.89
Li: 0.7096 0.7096 0.0402  1 Ag 2.74, 3 Li 2.79-2.89
Li: 0.8922 0.8922 0.3382  2 Li 2.79-3.12, 2 Ag 2.80
Ag: 0.2837 0.2837 0.2479  3 Li 2.74-2.80
Ag: 0.7163 0.7163 0.7521  3 Li 2.74-2.80



Entry 2:
## Sr2LiAg (PBE)

Data for an optimized crystal structure of Sr2LiAg.

E_tot = -0.0778 hartree per atom
energy of formation = -0.34 eV/f.u.
symmetry = P4mm, No. 99
energy above the most stable polymorph in this dataset = 79.4 meV per atom

a = 3.9099 Å, b = 3.9099 Å, c = 8.7336 Å
α = 90.00°, β = 90.00°, γ = 90.00°
Closest atoms and distances in Å follow each position.
Positions (direct):
Sr: 0.0000 0.0000 0.0000  1 Ag 3.37, 4 Li 3.59
Sr: 0.5000 0.5000 0.3791  1 Li 3.13, 4 Ag 3.44
Li: 0.5000 0.5000 0.7376  4 Ag 2.97, 1 Sr 3.13
Ag: 0.0000 0.0000 0.6141  4 Li 2.97



Entry 3:
## Sr3Li5Ag (PBE)

Data for an optimized crystal structure of Sr3Li5Ag.

E_tot = -0.0724 hartree per atom
energy of formation = -0.26 eV/f.u.
symmetry = P-62m, No. 189

a = 8.3328 Å, b = 8.3328 Å, c = 4.6647 Å
α = 90.00°, β = 90.00°, γ = 120.00°
Closest atoms and distances in Å follow each position.
Positions (direct):
Sr: 0.0000 0.3982 0.0000  1 Ag 3.32, 8 Li 3.46-3.70
Sr: 0.3982 0.0000 0.0000  1 Ag 3.32, 8 Li 3.46-3.70
Sr: 0.6018 0.6018 0.0000  1 Ag 3.32, 8 Li 3.46-3.70
Li: 0.0000 0.7820 0.5000  2 Ag 2.96, 2 Li 3.15
Li: 0.2180 0.2180 0.5000  2 Ag 2.96, 2 Li 3.15
Li: 0.3333 0.6667 0.5000  3 Li 3.36, 6 Sr 3.46
Li: 0.6667 0.3333 0.5000  3 Li 3.36, 6 Sr 3.46
Li: 0.7820 0.0000 0.5000  2 Ag 2.96, 2 Li 3.15
Ag: 0.0000 0.0000 0.0000  6 Li 2.96



Entry 4:
## Sr2LiAg (PBE)

Data for an optimized crystal structure of Sr2LiAg.

E_tot = -0.0781 hartree per atom
energy of formation = -0.37 eV/f.u.
symmetry = Imm2, No. 44
energy above the most stable polymorph in this dataset = 73.3 meV per atom

a = 6.9915 Å, b = 6.9915 Å, c = 6.9915 Å
α = 147.04°, β = 133.11°, γ = 58.50°
Closest atoms and distances in Å follow each position.
Positions (direct):
Sr: 0.0000 0.0000 0.0000  2 Ag 3.54, 4 Li 3.62, 2 Sr 3.78
Sr: 0.7097 0.2097 0.5000  4 Ag 3.44, 2 Li 3.63, 2 Sr 3.78
Li: 0.4014 0.4014 0.0000  2 Ag 2.79
Ag: 0.2400 0.7400 0.5000  2 Li 2.79



Entry 5:
## SrLi2Ag4 (PBE)

Data for an optimized crystal structure of SrLi2Ag4.

E_tot = -0.0967 hartree per atom
energy of formation = -1.51 eV/f.u.
symmetry = I4/mmm, No. 139

a = 5.8784 Å, b = 5.8784 Å, c = 5.8784 Å
α = 102.05°, β = 102.05°, γ = 125.63°
Closest atoms and distances in Å follow each position.
Positions (direct):
Sr: 0.0000 0.0000 0.0000  12 Ag 3.19-3.37
Li: 0.2500 0.7500 0.5000  2 Li 2.69, 8 Ag 3.00
Li: 0.7500 0.2500 0.5000  2 Li 2.69, 8 Ag 3.00
Ag: 0.3052 0.3052 0.6103  4 Ag 2.88-2.92, 4 Li 3.00, 1 Sr 3.19
Ag: 0.3052 0.6948 0.0000  4 Ag 2.88-2.92, 4 Li 3.00, 1 Sr 3.19
Ag: 0.6948 0.3052 0.0000  4 Ag 2.88-2.92, 4 Li 3.00, 1 Sr 3.19
Ag: 0.6948 0.6948 0.3897  4 Ag 2.88-2.92, 4 Li 3.00, 1 Sr 3.19



Entry 6:
## Sr2LiAg (PBE)

Data for an optimized crystal structure of Sr2LiAg.

E_tot = -0.0792 hartree per atom
energy of formation = -0.49 eV/f.u.
symmetry = Pmmm, No. 47
energy above the most stable polymorph in this dataset = 42.5 meV per atom

a = 4.0216 Å, b = 4.0392 Å, c = 8.2621 Å
α = 90.00°, β = 90.00°, γ = 90.00°
Closest atoms and distances in Å follow each position.
Positions (direct):
Sr: 0.0000 0.0000 0.2295  4 Ag 3.42, 4 Li 3.62, 1 Sr 3.79
Sr: 0.0000 0.0000 0.7705  4 Ag 3.42, 4 Li 3.62, 1 Sr 3.79
Li: 0.5000 0.5000 0.5000  8 Sr 3.62, 4 Li 4.02-4.04
Ag: 0.5000 0.5000 0.0000  8 Sr 3.42



Entry 7:
## Sr2LiAg7 (PBE)

Data for an optimized crystal structure of Sr2LiAg7.

E_tot = -0.0992 hartree per atom
energy of formation = -1.77 eV/f.u.
symmetry = P-4m2, No. 115

a = 4.3923 Å, b = 4.3923 Å, c = 12.3560 Å
α = 90.00°, β = 90.00°, γ = 90.00°
Closest atoms and distances in Å follow each position.
Positions (direct):
Sr: 0.0000 0.5000 0.2432  12 Ag 3.35-3.72
Sr: 0.5000 0.0000 0.7568  12 Ag 3.35-3.72
Li: 0.0000 0.0000 0.5000  8 Ag 2.77-3.11
Ag: 0.0000 0.0000 0.0000  8 Ag 2.81-3.11
Ag: 0.0000 0.5000 0.6372  3 Ag 2.72-2.77, 2 Li 2.77
Ag: 0.0000 0.5000 0.8577  5 Ag 2.72-2.81
Ag: 0.5000 0.0000 0.1423  5 Ag 2.72-2.81
Ag: 0.5000 0.0000 0.3628  3 Ag 2.72-2.77, 2 Li 2.77
Ag: 0.5000 0.5000 0.0000  8 Ag 2.81-3.11
Ag: 0.5000 0.5000 0.5000  4 Ag 2.77, 4 Li 3.11



Entry 8:
## Sr3Li2Ag3 (PBE)

Data for an optimized crystal structure of Sr3Li2Ag3.

E_tot = -0.0883 hartree per atom
energy of formation = -1.80 eV/f.u.
symmetry = Pnma, No. 62

a = 8.4651 Å, b = 16.2699 Å, c = 6.6114 Å
α = 90.00°, β = 90.00°, γ = 90.00°
Closest atoms and distances in Å follow each position.
Positions (direct):
Sr: 0.0278 0.1058 0.1443  6 Ag 3.38-3.56, 4 Li 3.46-3.72
Sr: 0.0278 0.3942 0.1443  6 Ag 3.38-3.56, 4 Li 3.46-3.72
Sr: 0.1714 0.2500 0.6160  5 Ag 3.32-3.65, 4 Li 3.45-3.53
Sr: 0.3286 0.7500 0.1160  5 Ag 3.32-3.65, 4 Li 3.45-3.53
Sr: 0.4722 0.6058 0.6443  6 Ag 3.38-3.56, 4 Li 3.46-3.72
Sr: 0.4722 0.8942 0.6443  6 Ag 3.38-3.56, 4 Li 3.46-3.72
Sr: 0.5278 0.1058 0.3557  6 Ag 3.38-3.56, 4 Li 3.46-3.72
Sr: 0.5278 0.3942 0.3557  6 Ag 3.38-3.56, 4 Li 3.46-3.72
Sr: 0.6714 0.2500 0.8840  5 Ag 3.32-3.65, 4 Li 3.45-3.53
Sr: 0.8286 0.7500 0.3840  5 Ag 3.32-3.65, 4 Li 3.45-3.53
Sr: 0.9722 0.6058 0.8557  6 Ag 3.38-3.56, 4 Li 3.46-3.72
Sr: 0.9722 0.8942 0.8557  6 Ag 3.38-3.56, 4 Li 3.46-3.72
Li: 0.1257 0.5976 0.3679  4 Ag 2.67-2.94
Li: 0.1257 0.9024 0.3679  4 Ag 2.67-2.94
Li: 0.3743 0.0976 0.8679  4 Ag 2.67-2.94
Li: 0.3743 0.4024 0.8679  4 Ag 2.67-2.94
Li: 0.6257 0.5976 0.1321  4 Ag 2.67-2.94
Li: 0.6257 0.9024 0.1321  4 Ag 2.67-2.94
Li: 0.8743 0.0976 0.6321  4 Ag 2.67-2.94
Li: 0.8743 0.4024 0.6321  4 Ag 2.67-2.94
Ag: 0.1716 0.0400 0.5929  3 Li 2.67-2.72
Ag: 0.1716 0.4600 0.5929  3 Li 2.67-2.72
Ag: 0.1839 0.7500 0.5958  2 Li 2.94
Ag: 0.3161 0.2500 0.0958  2 Li 2.94
Ag: 0.3284 0.5400 0.0929  3 Li 2.67-2.72
Ag: 0.3284 0.9600 0.0929  3 Li 2.67-2.72
Ag: 0.6716 0.0400 0.9071  3 Li 2.67-2.72
Ag: 0.6716 0.4600 0.9071  3 Li 2.67-2.72
Ag: 0.6839 0.7500 0.9042  2 Li 2.94
Ag: 0.8161 0.2500 0.4042  2 Li 2.94
Ag: 0.8284 0.5400 0.4071  3 Li 2.67-2.72
Ag: 0.8284 0.9600 0.4071  3 Li 2.67-2.72